First-principles (PBE) data for a relaxed structure of CaMg2GaSb, as listed in the Alexandria database.

E, eV/atom: -1.62
Raw formation energy, eV per atom: 0.852
Symmetry: No. 123
Crystal system: tetragonal

Cell and atoms, written as extended XYZ:
```
5
Lattice="-0.352 4.247 -3.844 1.245 -3.507 -3.989 -5.577 -1.135 -0.744" Properties=species:S:1:pos:R:3 pbc="T T T"
Sb -2.341 -0.197 -4.289
Ca 0.000 0.000 0.000
Mg -2.788 -0.567 -0.372
Mg -0.176 2.124 -1.922
Ga 0.623 -1.754 -1.995
```